Entry 1:
The following is a PBE calculation of an optimized crystal structure of VFeRh, from the Alexandria database.

Values from the calculation:
Formation enthalpy at 0 K (eV per atom): -0.17
SG: I4mm (107)
M_tot (μB/cell): 1.936
Energy relative to the lowest polymorph listed for this composition (meV per atom): 4

Lattice parameters (Å, degrees): 4.878 4.878 4.878 144.35 144.35 51.30
Fractional positions:
V1 0.000 0.000 0.000
Fe1 0.358 0.358 0.000
Rh1 0.675 0.675 0.000

---

Entry 2:
The following is a PBE calculation of an optimized crystal structure of VFeS2, from the Alexandria database.

Values from the calculation:
SG: I-42d (122)
M_tot (μB/cell): 1.999
Formation energy (no corrections) (eV/atom): -0.494

Lattice parameters (Å, degrees): 6.549 6.549 6.549 132.96 132.96 68.71
Fractional positions:
V1 0.000 0.000 0.000
V2 0.750 0.250 0.500
Fe1 0.250 0.750 0.500
Fe2 0.500 0.500 0.000
S1 0.130 0.625 0.005
S2 0.375 0.380 0.505
S3 0.620 0.125 0.995
S4 0.875 0.870 0.495